i.
## LiTiFeO4 (GGA+U)

Data for a relaxed LiTiFeO4 crystal.

a = 5.893 Å, b = 5.893 Å, c = 5.922 Å
α = 119.87°, β = 119.87°, γ = 60.63°
Element x y z (fractional)
Li (0.000, 0.000, 0.000)
Li (0.621, 0.621, 0.860)
Ti (0.001, 0.519, 0.512)
Ti (0.519, 0.001, 0.512)
Fe (0.378, 0.378, 0.141)
Fe (0.995, 0.995, 0.492)
O (0.213, 0.749, 0.713)
O (0.242, 0.242, 0.727)
O (0.242, 0.772, 0.269)
O (0.245, 0.245, 0.270)
O (0.748, 0.748, 0.710)
O (0.749, 0.213, 0.713)
O (0.755, 0.755, 0.277)
O (0.772, 0.242, 0.269)

DOS at the Fermi energy: 0.0 states/eV/cell
Space-group type: Cm (8)

***

ii.
## LiTiFeO4 (GGA+U)

Data for a relaxed LiTiFeO4 crystal.

a = 5.982 Å, b = 5.982 Å, c = 8.349 Å
α = 90.00°, β = 90.00°, γ = 90.00°
Element x y z (fractional)
Li (0.000, 0.232, 0.000)
Li (0.000, 0.768, 0.500)
Li (0.232, 0.000, 0.250)
Li (0.768, 0.000, 0.750)
Ti (0.222, 0.500, 0.250)
Ti (0.500, 0.222, 0.000)
Ti (0.500, 0.778, 0.500)
Ti (0.778, 0.500, 0.750)
Fe (0.257, 0.257, 0.625)
Fe (0.257, 0.743, 0.875)
Fe (0.743, 0.257, 0.375)
Fe (0.743, 0.743, 0.125)
O (0.015, 0.266, 0.257)
O (0.015, 0.734, 0.243)
O (0.265, 0.487, 0.015)
O (0.265, 0.513, 0.485)
O (0.266, 0.015, 0.993)
O (0.266, 0.985, 0.507)
O (0.487, 0.265, 0.235)
O (0.487, 0.735, 0.265)
O (0.513, 0.265, 0.765)
O (0.513, 0.735, 0.735)
O (0.734, 0.015, 0.007)
O (0.734, 0.985, 0.493)
O (0.735, 0.487, 0.985)
O (0.735, 0.513, 0.515)
O (0.985, 0.266, 0.743)
O (0.985, 0.734, 0.757)

DOS at the Fermi energy: 0.0 states/eV/cell
Space-group type: P4_322 (95)

***

The computed energies, referenced to the most stable structure and given in meV per atom, are i 128; ii 0.

***

i.
## LiTiFeO4 (GGA+U)

Data for a relaxed LiTiFeO4 crystal.

a = 6.000 Å, b = 6.000 Å, c = 6.000 Å
α = 120.34°, β = 120.01°, γ = 89.69°
Element x y z (fractional)
Li (0.370, 0.120, 0.250)
Li (0.630, 0.880, 0.750)
Ti (0.000, 0.000, 0.500)
Ti (0.000, 0.500, 0.000)
Fe (0.000, 0.500, 0.500)
Fe (0.500, 0.500, 0.000)
O (0.214, 0.744, 0.471)
O (0.227, 0.256, 0.971)
O (0.232, 0.253, 0.521)
O (0.232, 0.710, 0.979)
O (0.768, 0.290, 0.021)
O (0.768, 0.747, 0.479)
O (0.773, 0.744, 0.029)
O (0.786, 0.256, 0.529)

Space-group type: Imma (74)

***

ii.
## LiTiFeO4 (GGA+U)

Data for a relaxed LiTiFeO4 crystal.

a = 5.466 Å, b = 5.466 Å, c = 5.466 Å
α = 138.35°, β = 136.96°, γ = 61.44°
Element x y z (fractional)
Li (0.000, 0.000, 0.000)
Ti (0.283, 0.783, 0.500)
Fe (0.542, 0.542, 0.000)
O (0.074, 0.574, 0.500)
O (0.319, 0.319, 0.000)
O (0.497, 0.997, 0.500)
O (0.762, 0.762, 0.000)

Space-group type: Imm2 (44)

***

The computed energies, referenced to the most stable structure and given in meV per atom, are i 0; ii 50.

***

i.
## Li2VFe3O8 (GGA+U)

Data for a relaxed Li2VFe3O8 crystal.

a = 8.456 Å, b = 8.456 Å, c = 8.456 Å
α = 90.00°, β = 90.00°, γ = 90.00°
Element x y z (fractional)
Li (0.002, 0.498, 0.502)
Li (0.248, 0.748, 0.752)
Li (0.252, 0.252, 0.252)
Li (0.498, 0.502, 0.002)
Li (0.502, 0.002, 0.498)
Li (0.748, 0.752, 0.248)
Li (0.752, 0.248, 0.748)
Li (0.998, 0.998, 0.998)
V (0.125, 0.875, 0.375)
V (0.375, 0.125, 0.875)
V (0.625, 0.625, 0.625)
V (0.875, 0.375, 0.125)
Fe (0.125, 0.125, 0.625)
Fe (0.125, 0.375, 0.875)
Fe (0.125, 0.625, 0.125)
Fe (0.375, 0.375, 0.625)
Fe (0.375, 0.625, 0.375)
Fe (0.375, 0.875, 0.125)
Fe (0.625, 0.125, 0.125)
Fe (0.625, 0.375, 0.375)
Fe (0.625, 0.875, 0.875)
Fe (0.875, 0.125, 0.375)
Fe (0.875, 0.625, 0.875)
Fe (0.875, 0.875, 0.625)
O (0.101, 0.382, 0.120)
O (0.112, 0.612, 0.888)
O (0.118, 0.880, 0.601)
O (0.120, 0.101, 0.382)
O (0.130, 0.868, 0.149)
O (0.132, 0.649, 0.370)
O (0.138, 0.362, 0.638)
O (0.149, 0.130, 0.868)
O (0.351, 0.870, 0.368)
O (0.362, 0.638, 0.138)
O (0.368, 0.351, 0.870)
O (0.370, 0.132, 0.649)
O (0.380, 0.899, 0.882)
O (0.382, 0.120, 0.101)
O (0.388, 0.388, 0.388)
O (0.399, 0.618, 0.620)
O (0.601, 0.118, 0.880)
O (0.612, 0.888, 0.112)
O (0.618, 0.620, 0.399)
O (0.620, 0.399, 0.618)
O (0.630, 0.632, 0.851)
O (0.632, 0.851, 0.630)
O (0.638, 0.138, 0.362)
O (0.649, 0.370, 0.132)
O (0.851, 0.630, 0.632)
O (0.862, 0.862, 0.862)
O (0.868, 0.149, 0.130)
O (0.870, 0.368, 0.351)
O (0.880, 0.601, 0.118)
O (0.882, 0.380, 0.899)
O (0.888, 0.112, 0.612)
O (0.899, 0.882, 0.380)

Space-group type: P4_332 (212)

***

ii.
## Li2VFe3O8 (GGA+U)

Data for a relaxed Li2VFe3O8 crystal.

a = 5.956 Å, b = 5.956 Å, c = 9.505 Å
α = 90.00°, β = 90.00°, γ = 120.00°
Element x y z (fractional)
Li (0.000, 0.000, 0.000)
Li (0.000, 0.000, 0.500)
Li (0.333, 0.667, 0.411)
Li (0.667, 0.333, 0.911)
V (0.333, 0.667, 0.006)
V (0.667, 0.333, 0.506)
Fe (0.173, 0.346, 0.727)
Fe (0.173, 0.827, 0.727)
Fe (0.346, 0.173, 0.227)
Fe (0.654, 0.827, 0.727)
Fe (0.827, 0.173, 0.227)
Fe (0.827, 0.654, 0.227)
O (0.000, 0.000, 0.310)
O (0.000, 0.000, 0.810)
O (0.042, 0.521, 0.858)
O (0.176, 0.352, 0.098)
O (0.176, 0.824, 0.098)
O (0.333, 0.667, 0.614)
O (0.352, 0.176, 0.598)
O (0.479, 0.521, 0.858)
O (0.479, 0.958, 0.858)
O (0.521, 0.042, 0.358)
O (0.521, 0.479, 0.358)
O (0.648, 0.824, 0.098)
O (0.667, 0.333, 0.114)
O (0.824, 0.176, 0.598)
O (0.824, 0.648, 0.598)
O (0.958, 0.479, 0.358)

Space-group type: P6_3mc (186)

***

The computed energies, referenced to the most stable structure and given in meV per atom, are i 0; ii 20.